Entry 1:
The following is a GGA-PBE calculation of a geometry-optimized Ho4SnB3Rh12 structure, from Alexandria via LeMat-Bulk.

abc: 7.5365 7.5365 7.5365
angles: 109.47 109.47 109.47
Last column: nearest neighbours and their distance in Å.
Atoms (fractional coordinates):
Ho 0.5000 0.5000 0.5000  12 Rh 3.08-3.09
Ho 0.0000 0.0000 0.5000  12 Rh 3.08-3.09
Ho 0.5000 0.0000 0.0000  12 Rh 3.08-3.09
Ho 0.0000 0.5000 0.0000  12 Rh 3.08-3.09
Sn 0.0000 0.0000 0.0000  6 Rh 2.43
B 0.5000 0.0000 0.5000  2 Rh 1.93
B 0.5000 0.5000 0.0000  2 Rh 1.93
B 0.0000 0.5000 0.5000  2 Rh 1.93
Rh 0.2500 0.5000 0.7500  2 B 2.18
Rh 0.7213 0.0000 0.7213  1 B 1.93
Rh 0.2787 0.0000 0.2787  1 B 1.93
Rh 0.7500 0.5000 0.2500  2 B 2.18
Rh 0.7213 0.7213 0.0000  1 B 1.93
Rh 0.2787 0.2787 0.0000  1 B 1.93
Rh 0.7500 0.2500 0.5000  2 B 2.18
Rh 0.2500 0.7500 0.5000  2 B 2.18
Rh 0.5000 0.2500 0.7500  2 B 2.18
Rh 0.0000 0.7213 0.7213  1 B 1.93
Rh 0.5000 0.7500 0.2500  2 B 2.18
Rh 0.0000 0.2787 0.2787  1 B 1.93

Output
electronic total energy = -7.109 eV/atom
space group = Im-3m
V = 16.48 Å³/atom

=====

Entry 2:
The following is a GGA-PBE calculation of a geometry-optimized Ba3ScAu2O6 structure, from Alexandria via LeMat-Bulk.

abc: 6.0685 6.0685 6.8620
angles: 90.00 90.00 120.00
Last column: nearest neighbours and their distance in Å.
Atoms (fractional coordinates):
Ba 0.3333 0.6667 0.6337  9 O 2.82-3.05
Ba 0.6667 0.3333 0.3663  9 O 2.82-3.05
Ba 0.0000 0.0000 0.0000  6 O 2.76
Sc 0.0000 0.0000 0.5000  6 O 2.10
Au 0.6667 0.3333 0.8612  3 O 2.20
Au 0.3333 0.6667 0.1388  3 O 2.20
O 0.6788 0.8394 0.3188  1 Sc 2.10, 1 Au 2.20
O 0.1606 0.3212 0.3188  1 Sc 2.10, 1 Au 2.20
O 0.1606 0.8394 0.3188  1 Sc 2.10, 1 Au 2.20
O 0.8394 0.6788 0.6812  1 Sc 2.10, 1 Au 2.20
O 0.3212 0.1606 0.6812  1 Sc 2.10, 1 Au 2.20
O 0.8394 0.1606 0.6812  1 Sc 2.10, 1 Au 2.20

Output
electronic total energy = -5.811 eV/atom
space group = P-3m1
V = 18.24 Å³/atom
E_form (uncorrected) = -1.7776 eV/atom

=====

Entry 3:
The following is a GGA-PBE calculation of a geometry-optimized KNi2AsSe structure, from Alexandria via LeMat-Bulk.

abc: 4.4963 5.8566 4.4963
angles: 90.00 90.00 90.00
Last column: nearest neighbours and their distance in Å.
Atoms (fractional coordinates):
Ni 0.0000 0.0000 0.5000  2 Se 2.25
Ni 0.5000 0.0000 0.0000  2 Se 2.25
As 0.5000 0.5000 0.5000  4 K 3.18
K 0.0000 0.5000 0.0000  2 Se 2.93, 4 As 3.18
Se 0.0000 0.0000 0.0000  4 Ni 2.25

Output
electronic total energy = -3.672 eV/atom
space group = P4/mmm
V = 23.68 Å³/atom
E_form (uncorrected) = 0.4871 eV/atom

=====

Entry 4:
The following is a GGA-PBE calculation of a geometry-optimized Cr2CoMo structure, from Alexandria via LeMat-Bulk.

abc: 4.5666 4.5666 4.5666
angles: 132.85 132.85 68.90
Last column: nearest neighbours and their distance in Å.
Atoms (fractional coordinates):
Co 0.7500 0.2500 0.5000  8 Cr 2.58-2.62, 4 Mo 2.62
Cr 0.0000 0.0000 0.0000  4 Mo 2.58, 4 Cr 2.62, 4 Co 2.62
Cr 0.2500 0.7500 0.5000  4 Co 2.58, 4 Cr 2.62, 4 Mo 2.62
Mo 0.5000 0.5000 0.0000  8 Cr 2.58-2.62, 4 Co 2.62

Output
electronic total energy = -9.071 eV/atom
space group = I-4m2
V = 12.56 Å³/atom

=====

Entry 5:
The following is a GGA-PBE calculation of a geometry-optimized SmDy3 structure, from Alexandria via LeMat-Bulk.

abc: 3.6356 6.2744 6.7474
angles: 117.71 105.63 90.00
Last column: nearest neighbours and their distance in Å.
Atoms (fractional coordinates):
Sm 0.0000 0.9993 0.0000  10 Dy 3.52-3.64, 2 Sm 3.64
Dy 0.2489 0.5820 0.4978  3 Sm 3.52-3.54, 9 Dy 3.53-3.64
Dy 0.5000 0.5011 0.0000  8 Dy 3.53-3.64, 4 Sm 3.62-3.64
Dy 0.7511 0.0842 0.5022  3 Sm 3.52-3.54, 9 Dy 3.53-3.64

Output
electronic total energy = -4.616 eV/atom
excess energy over the best structure of this formula in the dataset = 3 meV per atom
space group = Imm2
V = 32.45 Å³/atom

=====

Entry 6:
The following is a GGA-PBE calculation of a geometry-optimized NaVZn structure, from Alexandria via LeMat-Bulk.

abc: 4.6042 4.6042 4.6042
angles: 60.00 60.00 60.00
Last column: nearest neighbours and their distance in Å.
Atoms (fractional coordinates):
Na 0.2500 0.2500 0.2500  4 Zn 2.82
Zn 0.0000 0.0000 0.0000  4 Na 2.82, 4 V 2.82
V 0.7500 0.7500 0.7500  4 Zn 2.82

Output
electronic total energy = -3.017 eV/atom
excess energy over the best structure of this formula in the dataset = 751 meV per atom
space group = F-43m
V = 23.00 Å³/atom

=====

Entry 7:
The following is a GGA-PBE calculation of a geometry-optimized CdGa8Ag2 structure, from Alexandria via LeMat-Bulk.

abc: 4.9994 6.9907 6.9907
angles: 71.51 80.61 80.61
Last column: nearest neighbours and their distance in Å.
Atoms (fractional coordinates):
Cd 0.0000 0.0000 0.0000  6 Ga 2.82-2.84, 4 Ag 2.89-2.91
Ga 0.7691 0.2402 0.6412  4 Ga 2.65-2.90, 1 Cd 2.84, 1 Ag 2.85
Ga 0.2309 0.3588 0.7598  4 Ga 2.65-2.90, 1 Cd 2.84, 1 Ag 2.85
Ga 0.8633 0.2539 0.2539  4 Ga 2.65-2.87, 2 Ag 2.76-2.92, 1 Cd 2.82
Ga 0.1367 0.7461 0.7461  4 Ga 2.65-2.87, 2 Ag 2.76-2.92, 1 Cd 2.82
Ga 0.7691 0.6412 0.2402  4 Ga 2.65-2.90, 1 Cd 2.84, 1 Ag 2.85
Ga 0.2309 0.7598 0.3588  4 Ga 2.65-2.90, 1 Cd 2.84, 1 Ag 2.85
Ga 0.2982 0.3701 0.3701  1 Ag 2.64, 4 Ga 2.67-2.87
Ga 0.7018 0.6299 0.6299  1 Ag 2.64, 4 Ga 2.67-2.87
Ag 0.4370 0.1330 0.1330  5 Ga 2.64-2.92, 2 Cd 2.89-2.91, 1 Ag 2.96
Ag 0.5630 0.8670 0.8670  5 Ga 2.64-2.92, 2 Cd 2.89-2.91, 1 Ag 2.96

Output
electronic total energy = -2.731 eV/atom
space group = C2/m
V = 20.63 Å³/atom

=====

Entry 8:
The following is a GGA-PBE calculation of a geometry-optimized PrHoTm2 structure, from Alexandria via LeMat-Bulk.

abc: 4.1023 4.1023 7.6447
angles: 90.00 90.00 90.00
Last column: nearest neighbours and their distance in Å.
Atoms (fractional coordinates):
Pr 0.5000 0.5000 0.5000  8 Tm 3.52, 2 Ho 3.82
Tm 0.0000 0.0000 0.7597  4 Ho 3.43, 4 Pr 3.52, 1 Tm 3.67
Tm 0.0000 0.0000 0.2403  4 Ho 3.43, 4 Pr 3.52, 1 Tm 3.67
Ho 0.5000 0.5000 0.0000  8 Tm 3.43, 2 Pr 3.82

Output
electronic total energy = -4.468 eV/atom
excess energy over the best structure of this formula in the dataset = 89 meV per atom
space group = P4/mmm
V = 32.16 Å³/atom

=====

Entry 9:
The following is a GGA-PBE calculation of a geometry-optimized MoIBr structure, from Alexandria via LeMat-Bulk.

abc: 3.5587 7.8222 8.8474
angles: 137.75 90.16 89.82
Last column: nearest neighbours and their distance in Å.
Atoms (fractional coordinates):
I 0.5017 0.9808 0.2321  3 Mo 2.80
I 0.4983 0.0192 0.7679  3 Mo 2.80
Mo 0.0000 0.0000 0.0000  2 Br 2.63, 4 I 2.80
Mo 0.5000 0.5000 0.5000  4 Br 2.64, 2 I 2.80
Br 0.9985 0.4942 0.2757  3 Mo 2.63-2.64
Br 0.0015 0.5058 0.7243  3 Mo 2.63-2.64

Output
electronic total energy = -4.559 eV/atom
excess energy over the best structure of this formula in the dataset = 417 meV per atom
space group = P-1
V = 27.60 Å³/atom
E_form (uncorrected) = 0.1252 eV/atom

=====

Entry 10:
The following is a GGA-PBE calculation of a geometry-optimized SiRuSe3 structure, from Alexandria via LeMat-Bulk.

abc: 4.8549 4.8549 4.8549
angles: 90.00 90.00 90.00
Last column: nearest neighbours and their distance in Å.
Atoms (fractional coordinates):
Ru 0.0000 0.0000 0.0000  6 Se 2.43
Si 0.5000 0.5000 0.5000  12 Se 3.43
Se 0.0000 0.5000 0.0000  2 Ru 2.43
Se 0.0000 0.0000 0.5000  2 Ru 2.43
Se 0.5000 0.0000 0.0000  2 Ru 2.43

Output
electronic total energy = -4.367 eV/atom
excess energy over the best structure of this formula in the dataset = 0 meV per atom
space group = Pm-3m
V = 22.89 Å³/atom
E_form (uncorrected) = 0.6639 eV/atom

=====

Entry 11:
The following is a GGA-PBE calculation of a geometry-optimized Tm6GeTe2 structure, from Alexandria via LeMat-Bulk.

abc: 6.2408 7.8802 10.0431
angles: 90.00 91.82 90.00
Last column: nearest neighbours and their distance in Å.
Atoms (fractional coordinates):
Tm 0.8629 0.9677 0.2336  1 Ge 2.79, 2 Te 3.09-3.13
Tm 0.8652 0.6691 0.5455  1 Ge 2.78, 1 Te 3.10
Tm 0.8694 0.6957 0.9542  1 Ge 2.82, 2 Te 3.08-3.16
Tm 0.6306 0.1957 0.5458  1 Ge 2.82, 2 Te 3.08-3.16
Tm 0.6348 0.1691 0.9545  1 Ge 2.78, 1 Te 3.10
Tm 0.6371 0.4677 0.2664  1 Ge 2.79, 2 Te 3.09-3.13
Tm 0.1371 0.0323 0.7664  1 Ge 2.79, 2 Te 3.09-3.13
Tm 0.1348 0.3309 0.4545  1 Ge 2.78, 1 Te 3.10
Tm 0.1306 0.3043 0.0458  1 Ge 2.82, 2 Te 3.08-3.16
Tm 0.3694 0.8043 0.4542  1 Ge 2.82, 2 Te 3.08-3.16
Tm 0.3652 0.8309 0.0455  1 Ge 2.78, 1 Te 3.10
Tm 0.3629 0.5323 0.7336  1 Ge 2.79, 2 Te 3.09-3.13
Ge 0.5000 0.5000 0.0000  6 Tm 2.78-2.82
Ge 0.0000 0.0000 0.5000  6 Tm 2.78-2.82
Te 0.9063 0.3847 0.7575  8 Tm 3.08-3.43
Te 0.5937 0.8847 0.7425  8 Tm 3.08-3.43
Te 0.4063 0.1153 0.2575  8 Tm 3.08-3.43
Te 0.0937 0.6153 0.2425  8 Tm 3.08-3.43

Output
electronic total energy = -4.873 eV/atom
space group = P2_1/c
V = 27.43 Å³/atom
E_form (uncorrected) = -0.6811 eV/atom

=====

Entry 12:
The following is a GGA-PBE calculation of a geometry-optimized K2Tb2PuS6 structure, from Alexandria via LeMat-Bulk.

abc: 6.9671 6.9671 7.8810
angles: 98.59 98.59 119.87
Last column: nearest neighbours and their distance in Å.
Atoms (fractional coordinates):
K 0.8313 0.1687 0.0000  6 S 3.25-3.27
K 0.1687 0.8313 0.0000  6 S 3.25-3.27
Tb 0.3338 0.6662 0.5000  6 S 2.76-2.78
Tb 0.6662 0.3338 0.5000  6 S 2.76-2.78
Pu 0.0000 0.0000 0.5000  6 S 2.69-2.71
S 0.7426 0.7426 0.6949  1 Pu 2.69, 2 Tb 2.77
S 0.0635 0.3919 0.6952  1 Pu 2.71, 2 Tb 2.76-2.78
S 0.2574 0.2574 0.3051  1 Pu 2.69, 2 Tb 2.77
S 0.3919 0.0635 0.6952  1 Pu 2.71, 2 Tb 2.76-2.78
S 0.9365 0.6081 0.3048  1 Pu 2.71, 2 Tb 2.76-2.78
S 0.6081 0.9365 0.3048  1 Pu 2.71, 2 Tb 2.76-2.78

Output
electronic total energy = -6.342 eV/atom
space group = C2/m
V = 28.79 Å³/atom
E_form (uncorrected) = -1.7468 eV/atom

=====

Entry 13:
The following is a GGA-PBE calculation of a geometry-optimized LiCd2RuO6 structure, from Alexandria via LeMat-Bulk.

abc: 5.4902 5.4900 5.6263
angles: 60.80 60.80 59.99
Last column: nearest neighbours and their distance in Å.
Atoms (fractional coordinates):
Li 0.8077 0.8077 0.5768  6 O 2.08-2.29
Cd 0.5375 0.5374 0.3877  6 O 2.26-2.41
Cd 0.0508 0.0509 0.8475  3 O 2.19
Ru 0.3160 0.3160 0.0521  6 O 1.87-1.97
O 0.5592 0.1911 0.2634  1 Ru 1.87
O 0.1912 0.9863 0.2633  1 Ru 1.87
O 0.9864 0.5591 0.2635  1 Ru 1.87
O 0.4493 0.6593 0.7871  1 Ru 1.97, 1 Li 2.08, 1 Cd 2.19
O 0.6594 0.1044 0.7870  1 Ru 1.97, 1 Li 2.08, 1 Cd 2.19
O 0.1043 0.4494 0.7871  1 Ru 1.97, 1 Li 2.08, 1 Cd 2.19

Output
electronic total energy = -5.236 eV/atom
space group = R3
V = 12.13 Å³/atom
E_form (uncorrected) = -0.9594 eV/atom

=====

Entry 14:
The following is a GGA-PBE calculation of a geometry-optimized MnTlRe3 structure, from Alexandria via LeMat-Bulk.

abc: 4.8587 4.8587 4.8587
angles: 90.00 90.00 90.00
Last column: nearest neighbours and their distance in Å.
Atoms (fractional coordinates):
Re 0.0000 0.5000 0.0000  2 Tl 2.43
Re 0.0000 0.0000 0.5000  2 Tl 2.43
Re 0.5000 0.0000 0.0000  2 Tl 2.43
Tl 0.0000 0.0000 0.0000  6 Re 2.43
Mn 0.5000 0.5000 0.5000  12 Re 3.44

Output
electronic total energy = -5.958 eV/atom
space group = Pm-3m
V = 22.94 Å³/atom

=====

Entry 15:
The following is a GGA-PBE calculation of a geometry-optimized Li2YInSe4 structure, from Alexandria via LeMat-Bulk.

abc: 4.0160 6.9416 6.9232
angles: 109.49 90.00 90.00
Last column: nearest neighbours and their distance in Å.
Atoms (fractional coordinates):
Li 0.5000 0.0000 0.5000  6 Se 2.77-2.81
Li 0.0000 0.5000 0.5000  6 Se 2.80-2.88
Y 0.5000 0.5000 0.0000  6 Se 2.86-2.89
In 0.0000 0.0000 0.0000  6 Se 2.79-2.86
Se 0.5000 0.2372 0.2473  3 Li 2.77-2.88, 2 In 2.79, 1 Y 2.89
Se 0.5000 0.7628 0.7527  3 Li 2.77-2.88, 2 In 2.79, 1 Y 2.89
Se 0.0000 0.2489 0.7431  3 Li 2.80-2.81, 2 Y 2.86, 1 In 2.86
Se 0.0000 0.7511 0.2569  3 Li 2.80-2.81, 2 Y 2.86, 1 In 2.86

Output
electronic total energy = -4.602 eV/atom
space group = P2/m
V = 22.74 Å³/atom
E_form (uncorrected) = -1.2306 eV/atom

=====

Entry 16:
The following is a GGA-PBE calculation of a geometry-optimized Ce3YZr2As6 structure, from Alexandria via LeMat-Bulk.

abc: 7.0509 7.0509 7.0613
angles: 99.59 99.59 120.00
Last column: nearest neighbours and their distance in Å.
Atoms (fractional coordinates):
Ce 0.1640 0.8360 0.5000  6 As 2.91-2.96
Ce 0.8360 0.1640 0.5000  6 As 2.91-2.96
Ce 0.5000 0.5000 0.5000  6 As 2.90-2.95
Y 0.0000 0.0000 0.0000  6 As 2.86-2.87
Zr 0.3325 0.6675 0.0000  6 As 2.80-2.81
Zr 0.6675 0.3325 0.0000  6 As 2.80-2.81
As 0.9210 0.5801 0.7637  2 Zr 2.80-2.81, 1 Y 2.87, 3 Ce 2.91-2.96
As 0.7364 0.7364 0.2329  2 Zr 2.80, 1 Y 2.86, 3 Ce 2.90-2.95
As 0.0790 0.4199 0.2363  2 Zr 2.80-2.81, 1 Y 2.87, 3 Ce 2.91-2.96
As 0.5801 0.9210 0.7637  2 Zr 2.80-2.81, 1 Y 2.87, 3 Ce 2.91-2.96
As 0.2636 0.2636 0.7671  2 Zr 2.80, 1 Y 2.86, 3 Ce 2.90-2.95
As 0.4199 0.0790 0.2363  2 Zr 2.80-2.81, 1 Y 2.87, 3 Ce 2.91-2.96

Output
electronic total energy = -7.130 eV/atom
space group = C2/m
V = 23.89 Å³/atom

=====

Entry 17:
The following is a GGA-PBE calculation of a geometry-optimized TaSiNi3 structure, from Alexandria via LeMat-Bulk.

abc: 4.1385 4.1385 4.1385
angles: 90.00 90.00 90.00
Last column: nearest neighbours and their distance in Å.
Atoms (fractional coordinates):
Ni 0.0000 0.5000 0.0000  2 Si 2.07
Ni 0.0000 0.0000 0.5000  2 Si 2.07
Ni 0.5000 0.0000 0.0000  2 Si 2.07
Si 0.0000 0.0000 0.0000  6 Ni 2.07
Ta 0.5000 0.5000 0.5000  12 Ni 2.93

Output
electronic total energy = -6.565 eV/atom
excess energy over the best structure of this formula in the dataset = 0 meV per atom
space group = Pm-3m
V = 14.18 Å³/atom
E_form (uncorrected) = 0.3589 eV/atom

=====

Entry 18:
The following is a GGA-PBE calculation of a geometry-optimized NdBP2N6 structure, from Alexandria via LeMat-Bulk.

abc: 5.5971 6.8921 6.8921
angles: 86.61 70.72 70.72
Last column: nearest neighbours and their distance in Å.
Atoms (fractional coordinates):
Nd 0.2500 0.8541 0.1459  4 N 2.38-2.40
Nd 0.7500 0.1459 0.8541  4 N 2.38-2.40
B 0.2500 0.2240 0.7760  4 N 1.50-1.57
B 0.7500 0.7760 0.2240  4 N 1.50-1.57
P 0.3554 0.7883 0.6281  4 N 1.59-1.67
P 0.1446 0.3719 0.2117  4 N 1.59-1.67
P 0.6446 0.2117 0.3719  4 N 1.59-1.67
P 0.8554 0.6281 0.7883  4 N 1.59-1.67
N 0.2284 0.0045 0.7632  1 B 1.57, 1 P 1.62
N 0.2716 0.2368 0.9955  1 B 1.57, 1 P 1.62
N 0.7716 0.9955 0.2368  1 B 1.57, 1 P 1.62
N 0.7284 0.7632 0.0045  1 B 1.57, 1 P 1.62
N 0.4886 0.7838 0.3847  1 B 1.50, 1 P 1.59
N 0.0114 0.6153 0.2162  1 B 1.50, 1 P 1.59
N 0.5114 0.2162 0.6153  1 B 1.50, 1 P 1.59
N 0.9886 0.3847 0.7838  1 B 1.50, 1 P 1.59
N 0.0707 0.7443 0.6516  2 P 1.67
N 0.4293 0.3484 0.2557  2 P 1.67
N 0.9293 0.2557 0.3484  2 P 1.67
N 0.5707 0.6516 0.7443  2 P 1.67

Output
electronic total energy = -7.679 eV/atom
space group = C2/c
V = 11.82 Å³/atom
E_form (uncorrected) = -0.4572 eV/atom